Entry 1:
Below is IrRh5 after structural relaxation, with properties calculated at the PBE level.

Values from the calculation:
- energy above the lowest structure with this stoichiometry (eV per atom) = 0.043
- symmetry = No. 189
- electronic total energy (eV per atom) = -7.56

a = 4.728 Å, b = 4.728 Å, c = 4.424 Å
α = 90.00°, β = 90.00°, γ = 120.00°
Positions (direct):
Ir 0.667 0.667 0.500
Rh 0.996 0.996 0.000
Rh 0.337 0.667 0.000
Rh 0.000 0.333 0.500
Rh 0.333 0.000 0.500
Rh 0.667 0.337 0.000

---

Entry 2:
Below is Rb2ErOsO6 after structural relaxation, with properties calculated at the PBE level.

Values from the calculation:
- formation energy from raw total energies (eV per atom) = -1.75
- symmetry = No. 164
- electronic total energy (eV per atom) = -6.50

a = 5.711 Å, b = 6.431 Å, c = 6.431 Å
α = 120.00°, β = 90.00°, γ = 90.00°
Site moments in Bohr magnetons follow the coordinates.
Positions (direct):
Rb 0.871 0.667 0.333  0.00
Rb 0.129 0.333 0.667  0.00
O 0.794 0.728 0.864  -0.04
O 0.206 0.864 0.136  -0.04
O 0.206 0.864 0.728  -0.04
O 0.794 0.136 0.864  -0.04
O 0.794 0.136 0.272  -0.04
O 0.206 0.272 0.136  -0.04
Os 0.000 0.000 0.000  -0.62
Er 0.500 0.000 0.000  -0.06

---

> electronic total energy of number 2 (Rb2ErOsO6)?

-6.50 eV per atom

---

What did the first record say?
Below is IrRh5 after structural relaxation, with properties calculated at the PBE level.

Values from the calculation:
- energy above the lowest structure with this stoichiometry (eV per atom) = 0.043
- symmetry = No. 189
- electronic total energy (eV per atom) = -7.56

a = 4.728 Å, b = 4.728 Å, c = 4.424 Å
α = 90.00°, β = 90.00°, γ = 120.00°
Positions (direct):
Ir 0.667 0.667 0.500
Rh 0.996 0.996 0.000
Rh 0.337 0.667 0.000
Rh 0.000 0.333 0.500
Rh 0.333 0.000 0.500
Rh 0.667 0.337 0.000